! ScMo3O (GGA+U, optimized geometry); values from VASP
! DFT total energy = -6.0249 eV/atom
! Size of the total moment = 3.242 μB per formula unit
! Density of states at the Fermi level = 3.44 states/eV/f.u.
! ρ = 7.4 g cm⁻³
! Calculated volume = 15.68 Å³/atom
&SYSTEM
  ibrav = 0, nat = 5, ntyp = 3
/
ATOMIC_SPECIES
Sc 44.96 Sc.upf
Mo 95.94 Mo.upf
O 16.00 O.upf
ATOMIC_POSITIONS crystal
Sc 0.500 0.500 0.500
Mo 0.000 0.500 0.000
Mo 0.500 0.000 0.000
Mo 0.000 0.000 0.500
O 0.000 0.000 0.000
CELL_PARAMETERS angstrom
4.280 0.000 0.000
0.000 4.280 0.000
0.000 0.000 4.280